--- w ---
Entry from the Alexandria database: crystalline Cr2FeCu at its relaxed geometry (PBE).

Fermi-level density of states: 7.25 states/eV per cell
Size of the total moment: 2.130 μB per formula unit

Structure (CIF):
```
data_Cr2FeCu
_chemical_formula_sum 'Cr4 Fe2 Cu2'
_cell_length_a 2.909
_cell_length_b 3.918
_cell_length_c 8.169
_cell_angle_alpha 90.00
_cell_angle_beta 90.00
_cell_angle_gamma 90.00
_symmetry_space_group_name_H-M 'C m m 2'
_symmetry_Int_Tables_number 35
loop_
_symmetry_equiv_pos_as_xyz
'x,y,z'
'-x,-y,z'
'-x,y,z'
'x,-y,z'
'x+1/2,y+1/2,z'
'-x+1/2,-y+1/2,z'
'-x+1/2,y+1/2,z'
'x+1/2,-y+1/2,z'
loop_
_atom_site_label
_atom_site_fract_x
_atom_site_fract_y
_atom_site_fract_z
Cr1 0.000 0.000 0.000
Cr2 0.000 0.500 0.245
Fe1 0.000 0.000 0.489
Cu1 0.000 0.500 0.742
```



--- x ---
Entry from the Alexandria database: crystalline Cr2FeCu at its relaxed geometry (PBE).

Fermi-level density of states: 9.17 states/eV per cell
Size of the total moment: 1.475 μB per formula unit

Structure (CIF):
```
data_Cr2FeCu
_chemical_formula_sum 'Cr4 Fe2 Cu2'
_cell_length_a 3.006
_cell_length_b 3.858
_cell_length_c 7.958
_cell_angle_alpha 90.00
_cell_angle_beta 90.00
_cell_angle_gamma 90.00
_symmetry_space_group_name_H-M 'I m m m'
_symmetry_Int_Tables_number 71
_symmetry_space_group_name_Hall '-I 2 2'
loop_
_atom_site_label
_atom_site_fract_x
_atom_site_fract_y
_atom_site_fract_z
Cr1 0.000 0.000 0.240
Fe1 0.000 0.500 0.500
Cu1 0.000 0.500 0.000
```



Quick look at relative energies in eV/atom: w 0.000; x 0.127.